KRb2Cl2F6 | PBE | optimized geometry

It has space group P-3 (No. 147), with a = 7.0287 Å, b = 7.0287 Å, c = 6.8068 Å, α = 90.00°, β = 90.00° and γ = 120.00°. Symmetry generates all atoms from K at (0.0000, 0.0000, 0.0000), Rb at (0.3333, 0.6667, 0.2981), Cl at (0.3333, 0.6667, 0.7890) and F at (0.0545, 0.3423, 0.7790).

The calculation puts the total magnetization at 3.00 Bohr magnetons per cell. Its theoretical density is 2.252 g/cm³. The value obtained for the density of states at the Fermi level is 14.88 states/eV per cell. The calculation puts the uncorrected formation energy at -139 kJ per mole of atoms.